[1]
# La8Ge5Cl (PBE-GGA, relaxed)
data_La8Ge5Cl
_cell_length_a 8.064
_cell_length_b 8.064
_cell_length_c 8.064
_cell_angle_alpha 109.82
_cell_angle_beta 108.78
_cell_angle_gamma 109.82
_symmetry_space_group_name_H-M 'P 1'
_symmetry_Int_Tables_number 1
_symmetry_space_group_name_Hall 'P 1'
loop_
_atom_site_label
_atom_site_type_symbol
_atom_site_fract_x
_atom_site_fract_y
_atom_site_fract_z
La1 La 0.747 0.241 0.362
La2 La 0.121 0.759 0.506
La3 La 0.121 0.747 0.014
La4 La 0.638 0.386 0.879
La5 La 0.627 0.893 0.879
La6 La 0.266 0.253 0.373
La7 La 0.494 0.614 0.253
La8 La 0.986 0.107 0.734
Ge1 Ge 0.752 0.627 0.630
Ge2 Ge 0.500 0.000 0.500
Ge3 Ge 0.004 0.373 0.125
Ge4 Ge 0.875 0.878 0.248
Ge5 Ge 0.370 0.122 0.996
Cl1 Cl 0.250 0.500 0.750
# Raw formation energy (eV per atom): -0.913
# V (Å³/atom): 28.8
# DOS at the Fermi energy (states/eV per cell): 14.41

[2]
# La3GeCl (PBE-GGA, relaxed)
data_La3GeCl
_cell_length_a 5.373
_cell_length_b 5.373
_cell_length_c 5.373
_cell_angle_alpha 90.00
_cell_angle_beta 90.00
_cell_angle_gamma 90.00
_symmetry_space_group_name_H-M 'P 1'
_symmetry_Int_Tables_number 1
_symmetry_space_group_name_Hall 'P 1'
loop_
_atom_site_label
_atom_site_type_symbol
_atom_site_fract_x
_atom_site_fract_y
_atom_site_fract_z
La1 La 0.000 0.500 0.000
La2 La 0.500 0.000 0.000
La3 La 0.000 0.000 0.500
Ge1 Ge 0.500 0.500 0.500
Cl1 Cl 0.000 0.000 0.000
# Raw formation energy (eV per atom): -0.596
# V (Å³/atom): 31.0
# DOS at the Fermi energy (states/eV per cell): 6.45

[3]
# La2GeCl (PBE-GGA, relaxed)
data_La2GeCl
_cell_length_a 6.078
_cell_length_b 6.078
_cell_length_c 7.523
_cell_angle_alpha 66.17
_cell_angle_beta 66.17
_cell_angle_gamma 90.00
_symmetry_space_group_name_H-M 'P 1'
_symmetry_Int_Tables_number 1
_symmetry_space_group_name_Hall 'P 1'
loop_
_atom_site_label
_atom_site_type_symbol
_atom_site_fract_x
_atom_site_fract_y
_atom_site_fract_z
Ge1 Ge 0.625 0.875 0.750
Ge2 Ge 0.375 0.125 0.250
Cl1 Cl 0.875 0.625 0.250
Cl2 Cl 0.125 0.375 0.750
La1 La 0.619 0.369 0.762
La2 La 0.381 0.631 0.238
La3 La 0.869 0.119 0.262
La4 La 0.131 0.881 0.738
# Raw formation energy (eV per atom): -1.356
# V (Å³/atom): 28.5
# DOS at the Fermi energy (states/eV per cell): 3.72

[4]
# La8GeCl6 (PBE-GGA, relaxed)
data_La8GeCl6
_cell_length_a 7.584
_cell_length_b 7.584
_cell_length_c 7.584
_cell_angle_alpha 88.94
_cell_angle_beta 88.94
_cell_angle_gamma 88.94
_symmetry_space_group_name_H-M 'P 1'
_symmetry_Int_Tables_number 1
_symmetry_space_group_name_Hall 'P 1'
loop_
_atom_site_label
_atom_site_type_symbol
_atom_site_fract_x
_atom_site_fract_y
_atom_site_fract_z
La1 La 0.894 0.216 0.645
La2 La 0.234 0.234 0.234
La3 La 0.355 0.106 0.784
La4 La 0.766 0.766 0.766
La5 La 0.216 0.645 0.894
La6 La 0.784 0.355 0.106
La7 La 0.645 0.894 0.216
La8 La 0.106 0.784 0.355
Cl1 Cl 0.572 0.425 0.803
Cl2 Cl 0.197 0.428 0.575
Cl3 Cl 0.575 0.197 0.428
Cl4 Cl 0.428 0.575 0.197
Cl5 Cl 0.425 0.803 0.572
Cl6 Cl 0.803 0.572 0.425
Ge1 Ge 0.000 0.000 0.000
# Raw formation energy (eV per atom): -1.280
# V (Å³/atom): 29.1
# DOS at the Fermi energy (states/eV per cell): 14.72

[5]
# La4Ge2Cl (PBE-GGA, relaxed)
data_La4Ge2Cl
_cell_length_a 8.035
_cell_length_b 8.035
_cell_length_c 8.035
_cell_angle_alpha 111.11
_cell_angle_beta 106.24
_cell_angle_gamma 111.11
_symmetry_space_group_name_H-M 'P 1'
_symmetry_Int_Tables_number 1
_symmetry_space_group_name_Hall 'P 1'
loop_
_atom_site_label
_atom_site_type_symbol
_atom_site_fract_x
_atom_site_fract_y
_atom_site_fract_z
La1 La 0.759 0.269 0.871
La2 La 0.509 0.111 0.241
La3 La 0.148 0.389 0.379
La4 La 0.241 0.231 0.852
La5 La 0.602 0.731 0.491
La6 La 0.991 0.611 0.759
La7 La 0.621 0.769 0.009
La8 La 0.129 0.889 0.398
Ge1 Ge 0.251 0.626 0.125
Ge2 Ge 0.875 0.126 0.501
Ge3 Ge 0.499 0.374 0.625
Ge4 Ge 0.375 0.874 0.749
Cl1 Cl 0.000 0.000 0.000
Cl2 Cl 0.750 0.500 0.250
# Raw formation energy (eV per atom): -1.011
# V (Å³/atom): 28.5
# DOS at the Fermi energy (states/eV per cell): 13.85

[6]
# LaGeCl2 (PBE-GGA, relaxed)
data_LaGeCl2
_cell_length_a 10.353
_cell_length_b 10.353
_cell_length_c 10.353
_cell_angle_alpha 20.31
_cell_angle_beta 20.31
_cell_angle_gamma 20.31
_symmetry_space_group_name_H-M 'P 1'
_symmetry_Int_Tables_number 1
_symmetry_space_group_name_Hall 'P 1'
loop_
_atom_site_label
_atom_site_type_symbol
_atom_site_fract_x
_atom_site_fract_y
_atom_site_fract_z
Ge1 Ge 0.500 0.500 0.500
Cl1 Cl 0.912 0.912 0.912
Cl2 Cl 0.088 0.088 0.088
La1 La 0.000 0.000 0.000
# Raw formation energy (eV per atom): -0.574
# V (Å³/atom): 29.2
# DOS at the Fermi energy (states/eV per cell): 1.78

[7]
# LaGeCl2 (PBE-GGA, relaxed)
data_LaGeCl2
_cell_length_a 4.695
_cell_length_b 4.695
_cell_length_c 10.224
_cell_angle_alpha 76.73
_cell_angle_beta 76.73
_cell_angle_gamma 90.00
_symmetry_space_group_name_H-M 'P 1'
_symmetry_Int_Tables_number 1
_symmetry_space_group_name_Hall 'P 1'
loop_
_atom_site_label
_atom_site_type_symbol
_atom_site_fract_x
_atom_site_fract_y
_atom_site_fract_z
Cl1 Cl 0.375 0.370 0.750
Cl2 Cl 0.875 0.880 0.750
Cl3 Cl 0.120 0.625 0.250
Cl4 Cl 0.630 0.125 0.250
Ge1 Ge 0.250 0.750 0.500
Ge2 Ge 0.500 0.500 0.000
La1 La 0.750 0.250 0.500
La2 La 0.000 0.000 0.000
# Raw formation energy (eV per atom): -1.096
# V (Å³/atom): 26.6
# DOS at the Fermi energy (states/eV per cell): 8.81

[8]
# La2GeCl (PBE-GGA, relaxed)
data_La2GeCl
_cell_length_a 4.283
_cell_length_b 4.283
_cell_length_c 7.977
_cell_angle_alpha 74.43
_cell_angle_beta 74.43
_cell_angle_gamma 60.00
_symmetry_space_group_name_H-M 'P 1'
_symmetry_Int_Tables_number 1
_symmetry_space_group_name_Hall 'P 1'
loop_
_atom_site_label
_atom_site_type_symbol
_atom_site_fract_x
_atom_site_fract_y
_atom_site_fract_z
Cl1 Cl 0.497 0.497 0.509
Ge1 Ge 0.668 0.668 0.996
La1 La 0.261 0.261 0.216
La2 La 0.074 0.074 0.779
# Raw formation energy (eV per atom): -1.272
# V (Å³/atom): 30.1
# DOS at the Fermi energy (states/eV per cell): 2.62